Entry 1:
Crystalline Li2CaSeO4 at its relaxed geometry. Source: Alexandria, functional PBE-GGA.

a b c (Å): 6.2656 6.3911 9.0861
angles (deg): 90.00 90.00 90.00
Last column: nearest neighbours and their distance in Å.
Space group Imma (No. 74)
Asymmetric unit:
1 Li 0.0000 0.0000 0.0000 [4 per cell]  6 O 2.22-2.23
2 Li 0.2500 0.2500 0.2500 [4 per cell]  6 O 2.29-2.53
3 Ca 0.0000 0.0000 0.5000 [4 per cell]  6 O 2.29-2.31
4 Se 0.2500 0.2500 0.7500 [4 per cell]  6 O 2.02-2.19
5 O 0.0000 0.0111 0.7546 [8 per cell]  2 Se 2.19, 3 Li 2.23-2.29, 1 Ca 2.31
6 O 0.2419 0.2500 0.9720 [8 per cell]  1 Se 2.02, 2 Li 2.22

The calculation puts the uncorrected formation energy at -1.612 eV per atom. The calculation puts the calculated total energy at -5.26 eV per atom. The spin magnetization comes out at 0.00 μB/f.u.



Entry 2:
Crystalline As2WSe at its relaxed geometry. Source: Alexandria, functional PBE-GGA.

a b c (Å): 9.0587 3.2632 5.0209
angles (deg): 90.00 98.75 90.00
Last column: nearest neighbours and their distance in Å.
Space group C2/m (No. 12)
Asymmetric unit:
1 As 0.2183 0.0000 0.2040 [4 per cell]  3 W 2.65-2.89, 1 Se 2.65, 2 As 2.75
2 W 0.0000 0.5000 0.0000 [2 per cell]  6 As 2.65-2.89
3 Se 0.0000 0.0000 0.5000 [2 per cell]  2 As 2.65

The calculation puts the uncorrected formation energy at 0.390 eV per atom. The calculation puts the calculated total energy at -6.04 eV per atom. The spin magnetization comes out at 0.00 μB/f.u.



Entry 3:
Crystalline Ba2Sb2AsPb2 at its relaxed geometry. Source: Alexandria, functional PBE-GGA.

a b c (Å): 13.5411 4.7571 9.4802
angles (deg): 90.00 122.79 90.00
Last column: nearest neighbours and their distance in Å.
Space group C2/m (No. 12)
Asymmetric unit:
1 Ba 0.0617 0.0000 0.2859 [4 per cell]  2 As 3.35, 2 Sb 3.66, 1 Pb 3.73
2 Sb 0.1282 0.5000 0.6203 [4 per cell]  1 Sb 2.95, 2 Pb 3.19
3 As 0.0000 0.5000 0.0000 [2 per cell]  2 Pb 2.82
4 Pb 0.2408 0.5000 0.1187 [4 per cell]  1 As 2.82

The calculation puts the uncorrected formation energy at -0.587 eV per atom. The calculation puts the calculated total energy at -4.04 eV per atom. The spin magnetization comes out at 0.00 μB/f.u.



Entry 4:
Crystalline CaTe2ICl at its relaxed geometry. Source: Alexandria, functional PBE-GGA.

a b c (Å): 5.5469 5.5469 5.6358
angles (deg): 90.00 90.00 90.00
Last column: nearest neighbours and their distance in Å.
Space group P4/mmm (No. 123)
Asymmetric unit:
1 Ca 0.0000 0.0000 0.0000 [1 per cell]  2 Cl 2.82
2 Te 0.0000 0.5000 0.5000 [2 per cell]  2 Cl 2.77
3 I 0.5000 0.5000 0.0000 [1 per cell]  4 Ca 3.92, 8 Te 3.95
4 Cl 0.0000 0.0000 0.5000 [1 per cell]  4 Te 2.77, 2 Ca 2.82

The calculation puts the uncorrected formation energy at -0.187 eV per atom. The calculation puts the calculated total energy at -2.52 eV per atom. The energy relative to the lowest polymorph listed for this composition comes out at 0.000 eV/atom. The spin magnetization comes out at 0.00 μB/f.u.



Entry 5:
Crystalline Cs2RbRuF6 at its relaxed geometry. Source: Alexandria, functional PBE-GGA.

a b c (Å): 6.6711 6.6711 16.3593
angles (deg): 90.00 90.00 120.00
Last column: nearest neighbours and their distance in Å.
Space group R-3m (No. 166, hexagonal axes)
Asymmetric unit:
1 Cs 0.0000 0.0000 0.2499 [6 per cell]  12 F 3.35-3.36
2 Rb 0.0000 0.0000 0.0000 [3 per cell]  6 F 2.69
3 Ru 0.0000 0.0000 0.5000 [3 per cell]  6 F 2.03
4 F 0.0460 0.5230 0.2384 [18 per cell]  1 Ru 2.03

The calculation puts the uncorrected formation energy at -2.361 eV per atom. The calculation puts the calculated total energy at -4.68 eV per atom. The spin magnetization comes out at 1.00 μB/f.u.



Entry 6:
Crystalline Ba2ZnGe3Pd4 at its relaxed geometry. Source: Alexandria, functional PBE-GGA.

a b c (Å): 4.5591 4.5591 10.3497
angles (deg): 90.00 90.00 90.00
Last column: nearest neighbours and their distance in Å.
Space group P-4m2 (No. 115)
Asymmetric unit:
1 Ba 0.0000 0.5000 0.2477 [2 per cell]  7 Ge 3.43-3.82, 2 Zn 3.43, 8 Pd 3.46-3.47
2 Zn 0.5000 0.5000 0.0000 [1 per cell]  4 Pd 2.62
3 Ge 0.0000 0.0000 0.0000 [1 per cell]  4 Pd 2.62
4 Ge 0.0000 0.5000 0.6170 [2 per cell]  5 Pd 2.58-2.66
5 Pd 0.0000 0.0000 0.5000 [1 per cell]  4 Ge 2.58
6 Pd 0.0000 0.5000 0.8745 [2 per cell]  3 Ge 2.62-2.66, 2 Zn 2.62
7 Pd 0.5000 0.5000 0.5000 [1 per cell]  4 Ge 2.58

The calculation puts the calculated total energy at -4.61 eV per atom. The formation energy from the elements comes out at -633 meV per atom. The spin magnetization comes out at 0.00 μB/f.u.



Entry 7:
Crystalline Cu2TcSe at its relaxed geometry. Source: Alexandria, functional PBE-GGA.

a b c (Å): 2.9962 4.6221 8.7896
angles (deg): 90.00 90.00 90.00
Last column: nearest neighbours and their distance in Å.
Space group Cmm2 (No. 35)
Asymmetric unit:
1 Cu 0.0000 0.0000 0.0000 [2 per cell]  2 Cu 2.45
2 Cu 0.0000 0.5000 0.2205 [2 per cell]  2 Cu 2.45, 2 Tc 2.63
3 Tc 0.0000 0.0000 0.4663 [2 per cell]  2 Se 2.55, 2 Cu 2.63, 4 Tc 2.75
4 Se 0.0000 0.5000 0.7013 [2 per cell]  2 Tc 2.55, 4 Se 2.75

The calculation puts the uncorrected formation energy at 0.451 eV per atom. The calculation puts the calculated total energy at -5.06 eV per atom. The spin magnetization comes out at 0.00 μB/f.u.



Entry 8:
Crystalline BPPtS2 at its relaxed geometry. Source: Alexandria, functional PBE-GGA.

a b c (Å): 4.9686 4.9686 4.3992
angles (deg): 90.00 90.00 90.00
Last column: nearest neighbours and their distance in Å.
Space group P4/mmm (No. 123)
Asymmetric unit:
1 B 0.0000 0.0000 0.0000 [1 per cell]  8 S 3.32, 4 P 3.51
2 P 0.5000 0.5000 0.0000 [1 per cell]  2 Pt 2.20
3 Pt 0.5000 0.5000 0.5000 [1 per cell]  2 P 2.20
4 S 0.0000 0.5000 0.5000 [2 per cell]  2 Pt 2.48

The calculation puts the uncorrected formation energy at 1.478 eV per atom. The calculation puts the calculated total energy at -3.80 eV per atom. The energy relative to the lowest polymorph listed for this composition comes out at 0.640 eV/atom. The spin magnetization comes out at 0.00 μB/f.u.



Entry 9:
Crystalline HAuSe at its relaxed geometry. Source: Alexandria, functional PBE-GGA.

a b c (Å): 2.8283 5.3917 6.9404
angles (deg): 90.00 90.00 90.00
Last column: nearest neighbours and their distance in Å.
Space group Amm2 (No. 38)
Asymmetric unit:
1 H 0.0000 0.0000 0.0000 [2 per cell]  1 Se 1.60
2 Au 0.0000 0.0000 0.2770 [2 per cell]  1 H 1.92
3 Se 0.0000 0.0000 0.7694 [2 per cell]  1 H 1.60

The calculation puts the calculated total energy at -3.21 eV per atom. The energy relative to the lowest polymorph listed for this composition comes out at 0.229 eV/atom. The spin magnetization comes out at 0.00 μB/f.u.



Entry 10:
Crystalline Re4RhCl at its relaxed geometry. Source: Alexandria, functional PBE-GGA.

a b c (Å): 7.3730 7.3730 7.3730
angles (deg): 90.00 90.00 90.00
Last column: nearest neighbours and their distance in Å.
Space group F-43m (No. 216)
Asymmetric unit:
1 Re 0.1250 0.1250 0.1250 [16 per cell]  6 Re 2.61
2 Rh 0.2500 0.2500 0.7500 [4 per cell]  12 Re 3.06, 4 Cl 3.19
3 Cl 0.0000 0.0000 0.5000 [4 per cell]  12 Re 3.06, 4 Rh 3.19

The calculation puts the uncorrected formation energy at 1.122 eV per atom. The calculation puts the calculated total energy at -8.71 eV per atom. The spin magnetization comes out at 0.00 μB/f.u.



Entry 11:
Crystalline AlGeP at its relaxed geometry. Source: Alexandria, functional PBE-GGA.

a b c (Å): 3.9582 11.8936 5.5841
angles (deg): 90.00 90.00 90.00
Last column: nearest neighbours and their distance in Å.
Space group Imm2 (No. 44)
Asymmetric unit:
1 Al 0.0000 0.1714 0.0000 [4 per cell]  3 P 2.39-2.41, 1 Ge 2.49
2 Ge 0.0000 0.0000 0.7442 [2 per cell]  2 Ge 2.45, 2 Al 2.49
3 Ge 0.0000 0.5000 0.9859 [2 per cell]  2 P 2.39, 2 Ge 2.45
4 P 0.0000 0.3336 0.7459 [4 per cell]  1 Ge 2.39, 3 Al 2.39-2.41

The calculation puts the calculated total energy at -4.88 eV per atom. The energy relative to the lowest polymorph listed for this composition comes out at 0.053 eV/atom. The formation energy from the elements comes out at -294 meV per atom. The spin magnetization comes out at 0.00 μB/f.u.



Entry 12:
Crystalline Be2HgTe at its relaxed geometry. Source: Alexandria, functional PBE-GGA.

a b c (Å): 6.8024 6.3372 4.5560
angles (deg): 90.00 121.60 90.00
Last column: nearest neighbours and their distance in Å.
Space group C2/m (No. 12)
Asymmetric unit:
1 Be 0.2500 0.2500 0.0000 [4 per cell]  2 Hg 2.56, 2 Te 2.56
2 Hg 0.0000 0.0000 0.5000 [2 per cell]  4 Be 2.56
3 Te 0.0000 0.5000 0.5000 [2 per cell]  4 Be 2.56

The calculation puts the uncorrected formation energy at 0.612 eV per atom. The calculation puts the calculated total energy at -2.11 eV per atom. The energy relative to the lowest polymorph listed for this composition comes out at 0.273 eV/atom. The spin magnetization comes out at 0.00 μB/f.u.